## i
ZrSc2AlH | PBE | optimized geometry

Geometry as CIF:
```
data_ZrSc2AlH
_cell_length_a 4.3511
_cell_length_b 4.3511
_cell_length_c 4.4990
_cell_angle_alpha 90.00
_cell_angle_beta 90.00
_cell_angle_gamma 90.00
_space_group_name_H-M_alt 'P 4/m m m'
_space_group_IT_number 123
_space_group_name_Hall '-P 4 2'
loop_
_atom_site_label
_atom_site_type_symbol
_atom_site_fract_x
_atom_site_fract_y
_atom_site_fract_z
Zr1 Zr 0.0000 0.0000 0.0000
Sc1 Sc 0.0000 0.5000 0.5000
Al1 Al 0.5000 0.5000 0.0000
H1 H 0.5000 0.5000 0.5000
```

The density of states at the Fermi level is 4.190 states/eV per cell.


## ii
ZrSc2AlH | PBE | optimized geometry

Geometry as CIF:
```
data_ZrSc2AlH
_cell_length_a 4.4044
_cell_length_b 4.4044
_cell_length_c 4.4020
_cell_angle_alpha 90.00
_cell_angle_beta 90.00
_cell_angle_gamma 90.00
_space_group_name_H-M_alt 'P 4/m m m'
_space_group_IT_number 123
_space_group_name_Hall '-P 4 2'
loop_
_atom_site_label
_atom_site_type_symbol
_atom_site_fract_x
_atom_site_fract_y
_atom_site_fract_z
Zr1 Zr 0.0000 0.0000 0.0000
Sc1 Sc 0.0000 0.5000 0.5000
Al1 Al 0.5000 0.5000 0.0000
H1 H 0.0000 0.0000 0.5000
```

The density of states at the Fermi level is 5.543 states/eV per cell.


Sorted by energy, starting with the most stable: ii, i.


## i
Al2H6Se | PBE | optimized geometry

Geometry as CIF:
```
data_Al2H6Se
_cell_length_a 7.1247
_cell_length_b 7.1247
_cell_length_c 7.1247
_cell_angle_alpha 90.00
_cell_angle_beta 90.00
_cell_angle_gamma 90.00
_space_group_name_H-M_alt 'F m -3 m'
_space_group_IT_number 225
_space_group_name_Hall '-F 4 2 3'
loop_
_atom_site_label
_atom_site_type_symbol
_atom_site_fract_x
_atom_site_fract_y
_atom_site_fract_z
Al1 Al 0.2500 0.2500 0.2500
H1 H 0.0000 0.0000 0.2481
Se1 Se 0.0000 0.0000 0.0000
```

The density of states at the Fermi level is 3.879 states/eV per cell.


## ii
Al2H6Se | PBE | optimized geometry

Geometry as CIF:
```
data_Al2H6Se
_cell_length_a 10.9674
_cell_length_b 7.8079
_cell_length_c 3.2350
_cell_angle_alpha 90.00
_cell_angle_beta 104.74
_cell_angle_gamma 90.00
_space_group_name_H-M_alt 'C 1 2/m 1'
_space_group_IT_number 12
_space_group_name_Hall '-C 2y'
loop_
_atom_site_label
_atom_site_type_symbol
_atom_site_fract_x
_atom_site_fract_y
_atom_site_fract_z
Al1 Al 0.0000 0.2482 0.0000
H1 H 0.0000 0.3595 0.5000
H2 H 0.1895 0.5000 0.7353
H3 H 0.2463 0.0000 0.3122
Se1 Se 0.0000 0.0000 0.5000
```

The density of states at the Fermi level is 2.401 states/eV per cell.


Sorted by energy, starting with the most stable: ii, i.


## i
AlSiH | PBE | optimized geometry

Geometry as CIF:
```
data_AlSiH
_cell_length_a 4.2066
_cell_length_b 4.2271
_cell_length_c 6.8874
_cell_angle_alpha 93.85
_cell_angle_beta 104.30
_cell_angle_gamma 118.13
_space_group_name_H-M_alt 'P 1'
_space_group_IT_number 1
_space_group_name_Hall 'P 1'
loop_
_atom_site_label
_atom_site_type_symbol
_atom_site_fract_x
_atom_site_fract_y
_atom_site_fract_z
Al1 Al 0.0000 0.0000 0.0000
Al2 Al 0.2511 0.2520 0.5265
Si1 Si 0.2920 0.6192 0.9123
Si2 Si 0.9338 0.6359 0.5933
H1 H 0.1504 0.0908 0.2605
H2 H 0.9672 0.4374 0.3998
```

The density of states at the Fermi level is 0.054 states/eV per cell.


## ii
AlSiH | PBE | optimized geometry

Geometry as CIF:
```
data_AlSiH
_cell_length_a 4.7516
_cell_length_b 5.5402
_cell_length_c 5.5009
_cell_angle_alpha 90.00
_cell_angle_beta 90.00
_cell_angle_gamma 90.00
_space_group_name_H-M_alt 'C m c m'
_space_group_IT_number 63
_space_group_name_Hall '-C 2c 2'
loop_
_atom_site_label
_atom_site_type_symbol
_atom_site_fract_x
_atom_site_fract_y
_atom_site_fract_z
Al1 Al 0.0000 0.0000 0.0000
Si1 Si 0.0000 0.4550 0.2500
H1 H 0.0000 0.2528 0.7500
```

The density of states at the Fermi level is 2.915 states/eV per cell.


Sorted by energy, starting with the most stable: i, ii.


## i
AlSiH | PBE | optimized geometry

Geometry as CIF:
```
data_AlSiH
_cell_length_a 4.2617
_cell_length_b 4.3324
_cell_length_c 5.6900
_cell_angle_alpha 108.50
_cell_angle_beta 111.27
_cell_angle_gamma 90.10
_space_group_name_H-M_alt 'P 1'
_space_group_IT_number 1
_space_group_name_Hall 'P 1'
loop_
_atom_site_label
_atom_site_type_symbol
_atom_site_fract_x
_atom_site_fract_y
_atom_site_fract_z
Al1 Al 0.0000 0.0000 0.0000
Al2 Al 0.2218 0.1417 0.5618
Si1 Si 0.4119 0.7343 0.7951
Si2 Si 0.5977 0.9031 0.2918
H1 H 0.0152 0.3924 0.0654
H2 H 0.6027 0.5545 0.2914
```

The density of states at the Fermi level is 0.431 states/eV per cell.


## ii
AlSiH | PBE | optimized geometry

Geometry as CIF:
```
data_AlSiH
_cell_length_a 6.5240
_cell_length_b 3.5971
_cell_length_c 6.5619
_cell_angle_alpha 90.00
_cell_angle_beta 90.00
_cell_angle_gamma 90.00
_space_group_name_H-M_alt 'P n m a'
_space_group_IT_number 62
_space_group_name_Hall '-P 2ac 2n'
loop_
_atom_site_label
_atom_site_type_symbol
_atom_site_fract_x
_atom_site_fract_y
_atom_site_fract_z
Al1 Al 0.0058 0.2500 0.2359
Si1 Si 0.2378 0.2500 0.5447
H1 H 0.2467 0.7500 0.5534
```

The density of states at the Fermi level is 2.602 states/eV per cell.


## iii
AlSiH | PBE | optimized geometry

Geometry as CIF:
```
data_AlSiH
_cell_length_a 4.1373
_cell_length_b 4.3106
_cell_length_c 5.7993
_cell_angle_alpha 105.67
_cell_angle_beta 109.87
_cell_angle_gamma 92.12
_space_group_name_H-M_alt 'P 1'
_space_group_IT_number 1
_space_group_name_Hall 'P 1'
loop_
_atom_site_label
_atom_site_type_symbol
_atom_site_fract_x
_atom_site_fract_y
_atom_site_fract_z
Al1 Al 0.0000 0.0000 0.0000
Al2 Al 0.0435 0.2767 0.6426
Si1 Si 0.5674 0.3402 0.2661
Si2 Si 0.6599 0.4724 0.9132
H1 H 0.0655 0.8980 0.6941
H2 H 0.4700 0.6633 0.3899
```


Sorted by energy, starting with the most stable: iii, i, ii.


## i
AlSiH | PBE | optimized geometry

Geometry as CIF:
```
data_AlSiH
_cell_length_a 6.5608
_cell_length_b 4.3276
_cell_length_c 6.8625
_cell_angle_alpha 90.00
_cell_angle_beta 90.00
_cell_angle_gamma 90.00
_space_group_name_H-M_alt 'P n m a'
_space_group_IT_number 62
_space_group_name_Hall '-P 2ac 2n'
loop_
_atom_site_label
_atom_site_type_symbol
_atom_site_fract_x
_atom_site_fract_y
_atom_site_fract_z
Al1 Al 0.1351 0.2500 0.0304
Si1 Si 0.2499 0.2500 0.3730
H1 H 0.0835 0.2500 0.5270
```

The density of states at the Fermi level is 0.135 states/eV per cell.


## ii
AlSiH | PBE | optimized geometry

Geometry as CIF:
```
data_AlSiH
_cell_length_a 3.5574
_cell_length_b 16.1606
_cell_length_c 2.7663
_cell_angle_alpha 90.00
_cell_angle_beta 90.00
_cell_angle_gamma 90.00
_space_group_name_H-M_alt 'C m c m'
_space_group_IT_number 63
_space_group_name_Hall '-C 2c 2'
loop_
_atom_site_label
_atom_site_type_symbol
_atom_site_fract_x
_atom_site_fract_y
_atom_site_fract_z
Al1 Al 0.0000 0.0740 0.2500
Si1 Si 0.0000 0.2156 0.7500
H1 H 0.0000 0.4197 0.7500
```

The density of states at the Fermi level is 2.026 states/eV per cell.


## iii
AlSiH | PBE | optimized geometry

Geometry as CIF:
```
data_AlSiH
_cell_length_a 3.6760
_cell_length_b 4.6883
_cell_length_c 9.9728
_cell_angle_alpha 90.00
_cell_angle_beta 90.00
_cell_angle_gamma 90.00
_space_group_name_H-M_alt 'I m m a'
_space_group_IT_number 74
_space_group_name_Hall '-I 2b 2'
loop_
_atom_site_label
_atom_site_type_symbol
_atom_site_fract_x
_atom_site_fract_y
_atom_site_fract_z
Al1 Al 0.0000 0.2500 0.0781
Si1 Si 0.0000 0.2500 0.8192
H1 H 0.0000 0.2500 0.4288
```

The density of states at the Fermi level is 0.991 states/eV per cell.


## iv
AlSiH | PBE | optimized geometry

Geometry as CIF:
```
data_AlSiH
_cell_length_a 4.0633
_cell_length_b 4.3426
_cell_length_c 6.1179
_cell_angle_alpha 85.07
_cell_angle_beta 71.05
_cell_angle_gamma 66.55
_space_group_name_H-M_alt 'P 1'
_space_group_IT_number 1
_space_group_name_Hall 'P 1'
loop_
_atom_site_label
_atom_site_type_symbol
_atom_site_fract_x
_atom_site_fract_y
_atom_site_fract_z
Al1 Al 0.0000 0.0000 0.0000
Al2 Al 0.4824 0.7472 0.2131
Si1 Si 0.5217 0.2170 0.4161
Si2 Si 0.8823 0.2720 0.6429
H1 H 0.6612 0.6451 0.7095
H2 H 0.9410 0.6188 0.0104
```

The density of states at the Fermi level is 0.104 states/eV per cell.


Sorted by energy, starting with the most stable: iii, i, iv, ii.


## i
AlSiH3 | PBE | optimized geometry

Geometry as CIF:
```
data_AlSiH3
_cell_length_a 3.6034
_cell_length_b 3.6034
_cell_length_c 3.6034
_cell_angle_alpha 90.00
_cell_angle_beta 90.00
_cell_angle_gamma 90.00
_space_group_name_H-M_alt 'P m -3 m'
_space_group_IT_number 221
_space_group_name_Hall '-P 4 2 3'
loop_
_atom_site_label
_atom_site_type_symbol
_atom_site_fract_x
_atom_site_fract_y
_atom_site_fract_z
Al1 Al 0.0000 0.0000 0.0000
Si1 Si 0.5000 0.5000 0.5000
H1 H 0.0000 0.5000 0.5000
```

The density of states at the Fermi level is 1.783 states/eV per cell.


## ii
AlSiH3 | PBE | optimized geometry

Geometry as CIF:
```
data_AlSiH3
_cell_length_a 3.5732
_cell_length_b 3.5732
_cell_length_c 3.5732
_cell_angle_alpha 90.00
_cell_angle_beta 90.00
_cell_angle_gamma 90.00
_space_group_name_H-M_alt 'P m -3 m'
_space_group_IT_number 221
_space_group_name_Hall '-P 4 2 3'
loop_
_atom_site_label
_atom_site_type_symbol
_atom_site_fract_x
_atom_site_fract_y
_atom_site_fract_z
Al1 Al 0.0000 0.0000 0.0000
Si1 Si 0.5000 0.5000 0.5000
H1 H 0.0000 0.0000 0.5000
```

The density of states at the Fermi level is 1.982 states/eV per cell.


Sorted by energy, starting with the most stable: i, ii.


## i
Sm2AlH | PBE | optimized geometry

Geometry as CIF:
```
data_Sm2AlH
_cell_length_a 3.6643
_cell_length_b 3.6643
_cell_length_c 22.5370
_cell_angle_alpha 90.00
_cell_angle_beta 90.00
_cell_angle_gamma 120.00
_space_group_name_H-M_alt 'R -3 m'
_space_group_IT_number 166
_space_group_name_Hall '-R 3 2"'
loop_
_atom_site_label
_atom_site_type_symbol
_atom_site_fract_x
_atom_site_fract_y
_atom_site_fract_z
Sm1 Sm 0.0000 0.0000 0.2312
Al1 Al 0.0000 0.0000 0.0000
H1 H 0.0000 0.0000 0.5000
```

The density of states at the Fermi level is 7.739 states/eV per cell.


## ii
Sm2AlH | PBE | optimized geometry

Geometry as CIF:
```
data_Sm2AlH
_cell_length_a 3.3706
_cell_length_b 3.5926
_cell_length_c 7.4013
_cell_angle_alpha 90.00
_cell_angle_beta 90.00
_cell_angle_gamma 90.00
_space_group_name_H-M_alt 'P m m m'
_space_group_IT_number 47
_space_group_name_Hall '-P 2 2'
loop_
_atom_site_label
_atom_site_type_symbol
_atom_site_fract_x
_atom_site_fract_y
_atom_site_fract_z
Sm1 Sm 0.0000 0.0000 0.2353
Al1 Al 0.5000 0.5000 0.5000
H1 H 0.5000 0.0000 0.0000
```

The density of states at the Fermi level is 2.366 states/eV per cell.


## iii
Sm2AlH | PBE | optimized geometry

Geometry as CIF:
```
data_Sm2AlH
_cell_length_a 3.3325
_cell_length_b 3.3325
_cell_length_c 7.4614
_cell_angle_alpha 90.00
_cell_angle_beta 90.00
_cell_angle_gamma 90.00
_space_group_name_H-M_alt 'P 4/m m m'
_space_group_IT_number 123
_space_group_name_Hall '-P 4 2'
loop_
_atom_site_label
_atom_site_type_symbol
_atom_site_fract_x
_atom_site_fract_y
_atom_site_fract_z
Sm1 Sm 0.0000 0.0000 0.2280
Al1 Al 0.5000 0.5000 0.5000
H1 H 0.5000 0.5000 0.0000
```

The density of states at the Fermi level is 2.621 states/eV per cell.


Sorted by energy, starting with the most stable: ii, i, iii.


## i
AlSnH | PBE | optimized geometry

Geometry as CIF:
```
data_AlSnH
_cell_length_a 7.2100
_cell_length_b 4.6575
_cell_length_c 7.0553
_cell_angle_alpha 90.00
_cell_angle_beta 90.00
_cell_angle_gamma 90.00
_space_group_name_H-M_alt 'P n m a'
_space_group_IT_number 62
_space_group_name_Hall '-P 2ac 2n'
loop_
_atom_site_label
_atom_site_type_symbol
_atom_site_fract_x
_atom_site_fract_y
_atom_site_fract_z
Al1 Al 0.1080 0.2500 0.0253
Sn1 Sn 0.2190 0.2500 0.3928
H1 H 0.0772 0.2500 0.5980
```

The density of states at the Fermi level is 0.440 states/eV per cell.


## ii
AlSnH | PBE | optimized geometry

Geometry as CIF:
```
data_AlSnH
_cell_length_a 3.2602
_cell_length_b 4.3428
_cell_length_c 9.7676
_cell_angle_alpha 102.35
_cell_angle_beta 98.93
_cell_angle_gamma 90.18
_space_group_name_H-M_alt 'P -1'
_space_group_IT_number 2
_space_group_name_Hall '-P 1'
loop_
_atom_site_label
_atom_site_type_symbol
_atom_site_fract_x
_atom_site_fract_y
_atom_site_fract_z
Al1 Al 0.2341 0.2329 0.4654
Sn1 Sn 0.1397 0.6361 0.2675
H1 H 0.4794 0.9865 0.0353
```

The density of states at the Fermi level is 1.060 states/eV per cell.


## iii
AlSnH | PBE | optimized geometry

Geometry as CIF:
```
data_AlSnH
_cell_length_a 6.3732
_cell_length_b 5.2774
_cell_length_c 6.2064
_cell_angle_alpha 90.00
_cell_angle_beta 90.00
_cell_angle_gamma 90.00
_space_group_name_H-M_alt 'P n m a'
_space_group_IT_number 62
_space_group_name_Hall '-P 2ac 2n'
loop_
_atom_site_label
_atom_site_type_symbol
_atom_site_fract_x
_atom_site_fract_y
_atom_site_fract_z
Al1 Al 0.0000 0.0000 0.0000
Sn1 Sn 0.0998 0.2500 0.4140
H1 H 0.1025 0.2500 0.8436
```

The density of states at the Fermi level is 3.682 states/eV per cell.


Sorted by energy, starting with the most stable: ii, iii, i.


## i
AlSn3H | PBE | optimized geometry

Geometry as CIF:
```
data_AlSn3H
_cell_length_a 5.2982
_cell_length_b 5.2982
_cell_length_c 5.2982
_cell_angle_alpha 90.00
_cell_angle_beta 90.00
_cell_angle_gamma 90.00
_space_group_name_H-M_alt 'P m -3 m'
_space_group_IT_number 221
_space_group_name_Hall '-P 4 2 3'
loop_
_atom_site_label
_atom_site_type_symbol
_atom_site_fract_x
_atom_site_fract_y
_atom_site_fract_z
Al1 Al 0.0000 0.0000 0.0000
Sn1 Sn 0.0000 0.0000 0.5000
H1 H 0.5000 0.5000 0.5000
```

The density of states at the Fermi level is 2.844 states/eV per cell.


## ii
AlSn3H | PBE | optimized geometry

Geometry as CIF:
```
data_AlSn3H
_cell_length_a 4.7244
_cell_length_b 4.7244
_cell_length_c 4.7244
_cell_angle_alpha 90.00
_cell_angle_beta 90.00
_cell_angle_gamma 90.00
_space_group_name_H-M_alt 'P m -3 m'
_space_group_IT_number 221
_space_group_name_Hall '-P 4 2 3'
loop_
_atom_site_label
_atom_site_type_symbol
_atom_site_fract_x
_atom_site_fract_y
_atom_site_fract_z
Al1 Al 0.0000 0.0000 0.0000
Sn1 Sn 0.0000 0.5000 0.5000
H1 H 0.5000 0.5000 0.5000
```

The density of states at the Fermi level is 2.641 states/eV per cell.


Sorted by energy, starting with the most stable: ii, i.


## i
Sr2AlH | PBE | optimized geometry

Geometry as CIF:
```
data_Sr2AlH
_cell_length_a 7.5372
_cell_length_b 7.5372
_cell_length_c 8.1383
_cell_angle_alpha 90.00
_cell_angle_beta 90.00
_cell_angle_gamma 90.00
_space_group_name_H-M_alt 'I -4 2 d'
_space_group_IT_number 122
_space_group_name_Hall 'I -4 2bw'
loop_
_atom_site_label
_atom_site_type_symbol
_atom_site_fract_x
_atom_site_fract_y
_atom_site_fract_z
Sr1 Sr 0.1581 0.7500 0.1250
Al1 Al 0.0000 0.0000 0.5000
H1 H 0.0000 0.0000 0.0000
```

The density of states at the Fermi level is 2.119 states/eV per cell.


## ii
Sr2AlH | PBE | optimized geometry

Geometry as CIF:
```
data_Sr2AlH
_cell_length_a 7.7141
_cell_length_b 7.7141
_cell_length_c 7.7141
_cell_angle_alpha 90.00
_cell_angle_beta 90.00
_cell_angle_gamma 90.00
_space_group_name_H-M_alt 'F m -3 m'
_space_group_IT_number 225
_space_group_name_Hall '-F 4 2 3'
loop_
_atom_site_label
_atom_site_type_symbol
_atom_site_fract_x
_atom_site_fract_y
_atom_site_fract_z
Sr1 Sr 0.2500 0.2500 0.2500
Al1 Al 0.0000 0.0000 0.0000
H1 H 0.0000 0.0000 0.5000
```

The density of states at the Fermi level is 7.078 states/eV per cell.


Sorted by energy, starting with the most stable: i, ii.